[1]
Density functional theory data (PBE-GGA) for a geometry-optimized NpZn3P3 structure.

Lattice parameters (Å, degrees): 7.680 7.680 7.680 53.86 53.86 53.86
Sites, in units of the cell vectors:
Np (0.166, 0.166, 0.166)
Np (0.834, 0.834, 0.834)
Zn (0.053, 0.378, 0.709)
Zn (0.291, 0.947, 0.622)
Zn (0.378, 0.709, 0.053)
Zn (0.622, 0.291, 0.947)
Zn (0.709, 0.053, 0.378)
Zn (0.947, 0.622, 0.291)
P (0.077, 0.754, 0.418)
P (0.246, 0.582, 0.923)
P (0.418, 0.077, 0.754)
P (0.582, 0.923, 0.246)
P (0.754, 0.418, 0.077)
P (0.923, 0.246, 0.582)

N(E_F)   21.49 states/eV per cell
Crystal system   trigonal
Formation energy from the elements   -0.36 eV per atom
Space group   R-3
VASP energy   -5.072 eV/atom


[2]
Density functional theory data (PBE-GGA) for a geometry-optimized Tb3YGa structure.

Lattice parameters (Å, degrees): 7.439 7.439 7.716 121.12 121.12 74.26
Sites, in units of the cell vectors:
Tb (0.058, 0.058, 0.340)
Tb (0.067, 0.450, 0.224)
Tb (0.450, 0.067, 0.224)
Tb (0.550, 0.933, 0.776)
Tb (0.933, 0.550, 0.776)
Tb (0.942, 0.942, 0.660)
Y (0.440, 0.440, 0.727)
Y (0.560, 0.560, 0.273)
Ga (0.251, 0.251, 0.877)
Ga (0.749, 0.749, 0.123)

N(E_F)   16.40 states/eV per cell
Crystal system   monoclinic
Formation energy from the elements   -0.07 eV per atom
Space group   C2/m
VASP energy   -4.749 eV/atom


[3]
Density functional theory data (PBE-GGA) for a geometry-optimized IrBr3Cl structure.

Lattice parameters (Å, degrees): 6.343 6.343 7.422 90.00 90.00 83.01
Sites, in units of the cell vectors:
Ir (0.003, 0.997, 0.750)
Ir (0.997, 0.003, 0.250)
Br (0.179, 0.179, 0.000)
Br (0.179, 0.179, 0.500)
Br (0.293, 0.707, 0.750)
Br (0.707, 0.293, 0.250)
Br (0.821, 0.821, 0.000)
Br (0.821, 0.821, 0.500)
Cl (0.273, 0.727, 0.250)
Cl (0.727, 0.273, 0.750)

Formation energy from raw total energies   -0.218 eV per atom
N(E_F)   12.26 states/eV per cell
Crystal system   orthorhombic
Space group   Cmcm
VASP energy   -3.363 eV/atom